DFT (PBE) results for crystalline ErCuPbSe3 at its relaxed geometry.

total magnetic moment	0.0	μB per formula unit
E	-4.75	eV per atom

a b c (Å): 10.540 4.046 13.598
angles (deg): 90.00 90.00 90.00
Fractional positions:
Er  0.011  0.250  0.244
Er  0.489  0.750  0.744
Er  0.511  0.250  0.256
Er  0.989  0.750  0.756
Cu  0.243  0.250  0.719
Cu  0.257  0.750  0.219
Cu  0.743  0.250  0.781
Cu  0.757  0.750  0.281
Pb  0.231  0.750  0.505
Pb  0.269  0.250  0.005
Pb  0.731  0.750  0.995
Pb  0.769  0.250  0.495
Se  0.051  0.250  0.614
Se  0.076  0.750  0.107
Se  0.242  0.750  0.829
Se  0.258  0.250  0.329
Se  0.424  0.250  0.607
Se  0.449  0.750  0.114
Se  0.551  0.250  0.886
Se  0.576  0.750  0.393
Se  0.742  0.750  0.671
Se  0.758  0.250  0.171
Se  0.924  0.250  0.893
Se  0.949  0.750  0.386


DFT (PBE) results for crystalline LiCuBiIr at its relaxed geometry.

total magnetic moment	0.0	μB per formula unit
E	-4.52	eV per atom

a b c (Å): 4.542 4.542 4.542
angles (deg): 60.00 60.00 60.00
Fractional positions:
Li  0.000  0.000  0.000
Cu  0.750  0.750  0.750
Bi  0.500  0.500  0.500
Ir  0.250  0.250  0.250


DFT (PBE) results for crystalline La3CoSn at its relaxed geometry.

total magnetic moment	0.0	μB per formula unit
E	-5.62	eV per atom

a b c (Å): 5.295 5.295 5.295
angles (deg): 90.00 90.00 90.00
Fractional positions:
La  0.000  0.000  0.500
La  0.000  0.500  0.000
La  0.500  0.000  0.000
Co  0.000  0.000  0.000
Sn  0.500  0.500  0.500


DFT (PBE) results for crystalline Cs2Cu3C5N5 at its relaxed geometry.

E	-6.72	eV per atom

a b c (Å): 9.652 9.652 8.314
angles (deg): 91.39 91.39 49.04
Fractional positions:
Cs  0.072  0.702  0.919
Cs  0.298  0.928  0.581
Cs  0.702  0.072  0.419
Cs  0.928  0.298  0.081
Cu  0.138  0.471  0.385
Cu  0.421  0.579  0.250
Cu  0.471  0.138  0.885
Cu  0.529  0.862  0.115
Cu  0.579  0.421  0.750
Cu  0.862  0.529  0.615
C  0.081  0.367  0.734
C  0.189  0.811  0.250
C  0.278  0.489  0.530
C  0.367  0.081  0.234
C  0.489  0.278  0.030
C  0.511  0.722  0.970
C  0.633  0.919  0.766
C  0.722  0.511  0.470
C  0.811  0.189  0.750
C  0.919  0.633  0.266
N  0.042  0.958  0.250
N  0.217  0.271  0.812
N  0.271  0.217  0.312
N  0.377  0.483  0.621
N  0.483  0.377  0.121
N  0.517  0.623  0.879
N  0.623  0.517  0.379
N  0.729  0.783  0.688
N  0.783  0.729  0.188
N  0.958  0.042  0.750


Q: The lowest E belongs to which entry?
A: Cs2Cu3C5N5


Repeat the third record exactly.
DFT (PBE) results for crystalline La3CoSn at its relaxed geometry.

total magnetic moment	0.0	μB per formula unit
E	-5.62	eV per atom

a b c (Å): 5.295 5.295 5.295
angles (deg): 90.00 90.00 90.00
Fractional positions:
La  0.000  0.000  0.500
La  0.000  0.500  0.000
La  0.500  0.000  0.000
Co  0.000  0.000  0.000
Sn  0.500  0.500  0.500